{"formula": "Fe10OF19", "functional": "GGA+U", "state": "optimized geometry", "e_above_lowest_polymorph_mev_per_atom": 0, "magnetic_moment_mub_per_cell": 23.02, "spacegroup": "P1 (1)", "energy_ha_per_atom": -0.2011, "cell": [[4.801, 0.000, 0.000], [0.064, 8.094, 0.000], [0.009, 3.033, 9.653]], "species": ["Fe", "Fe", "Fe", "Fe", "Fe", "Fe", "Fe", "Fe", "Fe", "Fe", "O", "F", "F", "F", "F", "F", "F", "F", "F", "F", "F", "F", "F", "F", "F", "F", "F", "F", "F", "F"], "frac_coords": [[0.000, 0.000, 0.000], [0.000, 0.409, 0.791], [0.001, 0.602, 0.193], [0.015, 0.190, 0.393], [0.021, 0.815, 0.578], [0.487, 0.905, 0.303], [0.495, 0.102, 0.698], [0.505, 0.704, 0.892], [0.506, 0.302, 0.094], [0.509, 0.499, 0.489], [0.193, 0.958, 0.424], [0.197, 0.165, 0.816], [0.200, 0.761, 0.014], [0.202, 0.578, 0.605], [0.205, 0.362, 0.211], [0.294, 0.856, 0.719], [0.300, 0.262, 0.518], [0.304, 0.059, 0.119], [0.307, 0.659, 0.313], [0.310, 0.467, 0.906], [0.697, 0.942, 0.878], [0.702, 0.345, 0.673], [0.703, 0.140, 0.275], [0.705, 0.548, 0.065], [0.706, 0.741, 0.475], [0.796, 0.840, 0.179], [0.798, 0.027, 0.585], [0.805, 0.247, 0.972], [0.812, 0.428, 0.374], [0.813, 0.660, 0.758]]}